Arrangement one

Sm12Dy7Sc: optimized geometry, PBE-GGA.

a b c (Å): 9.324 9.324 9.324
angles (deg): 107.74 107.74 107.74
Atoms (fractional coordinates):
Sm  0.219  0.676  0.382
Sm  0.324  0.618  0.781
Sm  0.382  0.219  0.676
Sm  0.676  0.382  0.219
Sm  0.945  0.704  0.596
Sm  0.404  0.055  0.296
Sm  0.704  0.596  0.945
Sm  0.781  0.324  0.618
Sm  0.055  0.296  0.404
Sm  0.296  0.404  0.055
Sm  0.618  0.781  0.324
Sm  0.596  0.945  0.704
Dy  0.500  0.500  0.500
Dy  0.315  0.006  0.899
Dy  0.994  0.101  0.685
Dy  0.899  0.315  0.006
Dy  0.685  0.994  0.101
Dy  0.006  0.899  0.315
Dy  0.101  0.685  0.994
Sc  0.000  0.000  0.000

Properties
**Calculated volume**: 33.05 A^3/atom
**Spin magnetization**: 0.0 μB/cell
**D(E_F)**: 35.420 states/eV/f.u.

Arrangement two

Sm12Dy7Sc: optimized geometry, PBE-GGA.

a b c (Å): 6.144 11.448 11.448
angles (deg): 116.87 100.31 100.31
Atoms (fractional coordinates):
Sm  0.581  0.000  0.647
Sm  0.582  0.647  0.000
Sm  0.419  0.000  0.353
Sm  0.087  0.586  0.173
Sm  0.500  0.587  0.414
Sm  0.500  0.413  0.586
Sm  0.913  0.414  0.827
Sm  0.914  0.827  0.413
Sm  0.935  0.353  0.353
Sm  0.086  0.173  0.587
Sm  0.065  0.647  0.647
Sm  0.418  0.353  0.000
Dy  0.638  0.759  0.759
Dy  0.120  0.000  0.759
Dy  0.880  0.000  0.241
Dy  0.362  0.241  0.241
Dy  0.120  0.759  0.000
Dy  0.880  0.241  0.000
Dy  0.500  0.000  0.000
Sc  0.000  0.000  0.000

Properties
**Calculated volume**: 33.75 A^3/atom
**Spin magnetization**: 0.0 μB/cell
**D(E_F)**: 27.575 states/eV/f.u.

Most stable: arrangement one. Least stable: arrangement two.

Arrangement one

TbSmDySc: optimized geometry, PBE-GGA.

a b c (Å): 5.567 5.567 5.567
angles (deg): 60.00 60.00 60.00
Atoms (fractional coordinates):
Sm  0.750  0.750  0.750
Dy  0.500  0.500  0.500
Tb  0.250  0.250  0.250
Sc  0.000  0.000  0.000

Properties
**Calculated volume**: 30.50 A^3/atom
**Spin magnetization**: 0.0 μB/cell
**D(E_F)**: 6.991 states/eV/f.u.

Arrangement two

TbSmDySc: optimized geometry, PBE-GGA.

a b c (Å): 3.766 5.632 6.695
angles (deg): 114.87 73.66 90.00
Atoms (fractional coordinates):
Sm  0.421  0.140  0.281
Sc  0.921  0.642  0.283
Tb  0.652  0.411  0.823
Dy  0.192  0.871  0.742

Properties
**Calculated volume**: 30.62 A^3/atom
**Spin magnetization**: 0.0 μB/cell
**D(E_F)**: 7.054 states/eV/f.u.

Most stable: arrangement two. Least stable: arrangement one.

Arrangement one

SmDyTmSc: optimized geometry, PBE-GGA.

a b c (Å): 5.537 5.537 5.537
angles (deg): 60.00 60.00 60.00
Atoms (fractional coordinates):
Sc  0.000  0.000  0.000
Dy  0.250  0.250  0.250
Tm  0.500  0.500  0.500
Sm  0.750  0.750  0.750

Properties
**Calculated volume**: 30.01 A^3/atom
**Spin magnetization**: 0.0 μB/cell
**D(E_F)**: 6.228 states/eV/f.u.

Arrangement two

SmDyTmSc: optimized geometry, PBE-GGA.

a b c (Å): 3.763 5.594 6.640
angles (deg): 114.91 73.50 90.00
Atoms (fractional coordinates):
Sc  0.920  0.643  0.286
Sm  0.423  0.139  0.277
Dy  0.653  0.410  0.820
Tm  0.191  0.873  0.745

Properties
**Calculated volume**: 30.10 A^3/atom
**Spin magnetization**: 0.0 μB/cell
**D(E_F)**: 6.788 states/eV/f.u.

Most stable: arrangement two. Least stable: arrangement one.

Arrangement one

SmDyYSc: optimized geometry, PBE-GGA.

a b c (Å): 3.791 5.618 6.689
angles (deg): 114.83 73.53 90.00
Atoms (fractional coordinates):
Sm  0.650  0.414  0.827
Sc  0.920  0.643  0.286
Dy  0.193  0.870  0.740
Y  0.423  0.138  0.277

Properties
**Calculated volume**: 30.70 A^3/atom
**Spin magnetization**: 0.0 μB/cell
**D(E_F)**: 7.718 states/eV/f.u.

Arrangement two

SmDyYSc: optimized geometry, PBE-GGA.

a b c (Å): 5.571 5.571 5.571
angles (deg): 60.00 60.00 60.00
Atoms (fractional coordinates):
Sc  0.750  0.750  0.750
Sm  0.000  0.000  0.000
Y  0.250  0.250  0.250
Dy  0.500  0.500  0.500

Properties
**Calculated volume**: 30.57 A^3/atom
**Spin magnetization**: 0.0 μB/cell
**D(E_F)**: 6.887 states/eV/f.u.

Most stable: arrangement one. Least stable: arrangement two.

Arrangement one

SmDyScZn: optimized geometry, PBE-GGA.

a b c (Å): 5.250 5.250 5.250
angles (deg): 60.00 60.00 60.00
Atoms (fractional coordinates):
Sm  0.750  0.750  0.750
Sc  0.500  0.500  0.500
Zn  0.000  0.000  0.000
Dy  0.250  0.250  0.250

Properties
**Calculated volume**: 25.59 A^3/atom
**Spin magnetization**: 0.0 μB/cell
**D(E_F)**: 4.510 states/eV/f.u.

Arrangement two

SmDyScZn: optimized geometry, PBE-GGA.

a b c (Å): 3.485 3.485 8.493
angles (deg): 90.00 90.00 90.00
Atoms (fractional coordinates):
Sm  0.000  0.000  0.087
Dy  0.500  0.500  0.775
Sc  0.500  0.500  0.373
Zn  0.000  0.000  0.549

Properties
**Calculated volume**: 25.78 A^3/atom
**Spin magnetization**: 0.0 μB/cell
**D(E_F)**: 4.149 states/eV/f.u.

Most stable: arrangement two. Least stable: arrangement one.

Arrangement one

DySc2Sn: optimized geometry, PBE-GGA.

a b c (Å): 3.642 3.642 7.645
angles (deg): 90.00 90.00 90.00
Atoms (fractional coordinates):
Dy  0.500  0.500  0.500
Sc  0.000  0.000  0.780
Sc  0.000  0.000  0.220
Sn  0.500  0.500  0.000

Properties
**Calculated volume**: 25.36 A^3/atom
**Spin magnetization**: 0.0 μB/cell
**D(E_F)**: 5.987 states/eV/f.u.

Arrangement two

DySc2Sn: optimized geometry, PBE-GGA.

a b c (Å): 4.575 4.624 4.624
angles (deg): 90.00 90.00 90.00
Last column: magnetic moment on the atom in μB.
Atoms (fractional coordinates):
Sc  0.000  0.000  0.500  0.22
Sc  0.000  0.500  0.000  0.22
Dy  0.500  0.500  0.500  0.15
Sn  0.500  0.000  0.000  -0.01

Properties
**Calculated volume**: 24.45 A^3/atom
**Spin magnetization**: 0.9 μB/cell
**D(E_F)**: 5.006 states/eV/f.u.

Arrangement three

DySc2Sn: optimized geometry, PBE-GGA.

a b c (Å): 4.481 4.394 10.857
angles (deg): 101.66 90.00 90.00
Atoms (fractional coordinates):
Dy  0.250  0.310  0.620
Dy  0.750  0.690  0.380
Sn  0.250  0.160  0.320
Sn  0.750  0.840  0.680
Sc  0.750  0.445  0.890
Sc  0.750  0.061  0.122
Sc  0.250  0.939  0.878
Sc  0.250  0.555  0.110

Properties
**Calculated volume**: 26.17 A^3/atom
**Spin magnetization**: 0.0 μB/cell
**D(E_F)**: 4.879 states/eV/f.u.

Most stable: arrangement three. Least stable: arrangement one.